First-principles (PBE-GGA) data for an optimized crystal structure of Ac2In3Ag6, as listed in the Alexandria database.

Structure (CIF):
```
data_Ac2In3Ag6
_chemical_formula_sum 'Ac4 In6 Ag12'
_cell_length_a 10.587
_cell_length_b 12.119
_cell_length_c 4.488
_cell_angle_alpha 90.00
_cell_angle_beta 90.00
_cell_angle_gamma 90.00
_symmetry_space_group_name_H-M 'C m m m'
_symmetry_Int_Tables_number 65
_symmetry_space_group_name_Hall '-C 2 2'
loop_
_atom_site_label
_atom_site_fract_x
_atom_site_fract_y
_atom_site_fract_z
Ac1 0.208 0.000 0.000
In1 0.000 0.268 0.000
In2 0.000 0.500 0.500
Ag1 0.000 0.116 0.500
Ag2 0.161 0.325 0.500
```

As for the calculated formation energy: -0.13 eV/atom.


First-principles (PBE-GGA) data for an optimized crystal structure of Tb6Sm2Sc, as listed in the Alexandria database.

Structure (CIF):
```
data_Tb6Sm2Sc
_chemical_formula_sum 'Tb24 Sm8 Sc4'
_cell_length_a 16.248
_cell_length_b 11.533
_cell_length_c 6.083
_cell_angle_alpha 90.00
_cell_angle_beta 96.49
_cell_angle_gamma 90.00
_symmetry_space_group_name_H-M 'C 1 2/c 1'
_symmetry_Int_Tables_number 15
_symmetry_space_group_name_Hall '-C 2yc'
loop_
_atom_site_label
_atom_site_fract_x
_atom_site_fract_y
_atom_site_fract_z
Tb1 0.048 0.142 0.011
Tb2 0.110 0.365 0.327
Tb3 0.205 0.361 0.859
Sm1 0.171 0.101 0.566
Sc1 0.000 0.398 0.750
```

As for the calculated formation energy: 0.10 eV/atom.


| no. | offset from the most stable computed form (eV per atom) | E (eV per cell) |
| --- | --- | --- |
| 1 | 0.0589 | -70.0 |
| 2 | 0.0000 | -170.6 |